(1)
DFT (PBE+U) results for a relaxed MnNb2NiO crystal.

The space group is P4/mmm (No. 123) and the conventional cell measures 4.236, 4.236 and 4.130 Å, with angles of 90.00, 90.00 and 90.00 degrees. The asymmetric unit holds Mn at (0.000, 0.000, 0.000), Nb at (0.000, 0.500, 0.500), Ni at (0.500, 0.500, 0.000) and O at (0.500, 0.500, 0.500).

The value obtained for the magnetic moment is 2.9 μB/f.u. As for the total DFT energy (no corrections): -7.2011 eV per atom.

(2)
DFT (PBE+U) results for a relaxed Mn2NbNiO6 crystal.

The space group is P1 (No. 1) and the conventional cell measures 5.174, 5.175 and 5.631 Å, with angles of 89.73, 62.65 and 60.18 degrees. The asymmetric unit holds Mn at (0.000, 0.000, 0.000), Mn at (0.025, 0.486, 0.458), Nb at (0.417, 0.792, 0.387), Ni at (0.429, 0.287, 0.860), O at (0.217, 0.585, 0.659), O at (0.234, 0.682, 0.187), O at (0.494, 0.086, 0.186), O at (0.545, 0.880, 0.658), O at (0.903, 0.422, 0.177) and O at (0.924, 0.204, 0.656).

The value obtained for the magnetic moment is 9.0 μB/f.u. As for the total DFT energy (no corrections): -7.4371 eV per atom.